Entry 1:
# PmPRh, optimized geometry, DFT PBE
data_PmPRh
_cell_length_a 6.224
_cell_length_b 6.224
_cell_length_c 6.224
_cell_angle_alpha 90.00
_cell_angle_beta 90.00
_cell_angle_gamma 90.00
_space_group_name_H-M_alt 'P 1'
_space_group_IT_number 1
loop_
_space_group_symop_operation_xyz
'x,y,z'
loop_
_atom_site_label
_atom_site_fract_x
_atom_site_fract_y
_atom_site_fract_z
P1 0.434 0.434 0.434
Rh1 0.328 0.672 0.172
P2 0.566 0.934 0.066
Rh2 0.172 0.328 0.672
Rh3 0.672 0.172 0.328
P3 0.934 0.066 0.566
Rh4 0.828 0.828 0.828
Pm1 0.662 0.338 0.838
Pm2 0.838 0.662 0.338
P4 0.066 0.566 0.934
Pm3 0.338 0.838 0.662
Pm4 0.162 0.162 0.162
# - space-group type = No. 198
# - crystal system = cubic
# - final energy (hartree per atom) = -0.260



Entry 2:
# PmPRh, optimized geometry, DFT PBE
data_PmPRh
_cell_length_a 3.231
_cell_length_b 3.231
_cell_length_c 6.739
_cell_angle_alpha 103.87
_cell_angle_beta 103.87
_cell_angle_gamma 90.00
_space_group_name_H-M_alt 'P 1'
_space_group_IT_number 1
loop_
_space_group_symop_operation_xyz
'x,y,z'
loop_
_atom_site_label
_atom_site_fract_x
_atom_site_fract_y
_atom_site_fract_z
P1 0.730 0.730 0.460
Pm1 0.951 0.951 0.902
Rh1 0.169 0.169 0.337
# - space-group type = No. 107
# - crystal system = tetragonal
# - final energy (hartree per atom) = -0.222



Entry 3:
# PmP3Rh5, optimized geometry, DFT PBE
data_PmP3Rh5
_cell_length_a 3.896
_cell_length_b 6.344
_cell_length_c 12.224
_cell_angle_alpha 90.00
_cell_angle_beta 90.00
_cell_angle_gamma 107.88
_space_group_name_H-M_alt 'P 1'
_space_group_IT_number 1
loop_
_space_group_symop_operation_xyz
'x,y,z'
loop_
_atom_site_label
_atom_site_fract_x
_atom_site_fract_y
_atom_site_fract_z
P1 0.390 0.780 0.955
P2 0.390 0.780 0.545
P3 0.884 0.767 0.250
Rh1 0.789 0.579 0.078
Rh2 0.789 0.579 0.422
P4 0.610 0.220 0.455
Rh3 0.000 0.000 0.000
Rh4 0.211 0.421 0.578
Rh5 0.440 0.879 0.359
Rh6 0.211 0.421 0.922
Pm1 0.852 0.705 0.750
Rh7 0.560 0.121 0.641
Rh8 0.000 0.000 0.500
Rh9 0.440 0.879 0.141
P5 0.116 0.233 0.750
Rh10 0.560 0.121 0.859
Pm2 0.148 0.295 0.250
P6 0.610 0.220 0.045
# - space-group type = No. 63
# - crystal system = orthorhombic
# - final energy (hartree per atom) = -0.266



Entry 4:
# PmPRhS, optimized geometry, DFT PBE
data_PmPRhS
_cell_length_a 4.344
_cell_length_b 4.344
_cell_length_c 8.575
_cell_angle_alpha 90.00
_cell_angle_beta 90.00
_cell_angle_gamma 90.00
_space_group_name_H-M_alt 'P 1'
_space_group_IT_number 1
loop_
_space_group_symop_operation_xyz
'x,y,z'
loop_
_atom_site_label
_atom_site_fract_x
_atom_site_fract_y
_atom_site_fract_z
S1 0.500 0.500 0.500
Rh1 0.500 0.500 0.000
P1 0.500 0.000 0.123
S2 0.000 0.000 0.500
Pm1 0.500 0.000 0.690
Rh2 0.000 0.000 0.000
Pm2 0.000 0.500 0.310
P2 0.000 0.500 0.877
# - space-group type = No. 129
# - energy relative to the elements, uncorrected (eV/atom) = -1.168
# - crystal system = tetragonal



Entry 5:
# Pm6P2RhS3, optimized geometry, DFT PBE
data_Pm6P2RhS3
_cell_length_a 4.069
_cell_length_b 8.253
_cell_length_c 9.149
_cell_angle_alpha 103.00
_cell_angle_beta 102.85
_cell_angle_gamma 90.00
_space_group_name_H-M_alt 'P 1'
_space_group_IT_number 1
loop_
_space_group_symop_operation_xyz
'x,y,z'
loop_
_atom_site_label
_atom_site_fract_x
_atom_site_fract_y
_atom_site_fract_z
Pm1 0.664 0.088 0.329
S1 0.169 0.833 0.337
Pm2 0.999 0.752 0.997
S2 0.500 0.500 0.000
P1 0.166 0.335 0.333
Rh1 0.500 0.000 0.000
P2 0.834 0.665 0.667
Pm3 0.331 0.420 0.662
S3 0.831 0.167 0.663
Pm4 0.669 0.580 0.338
Pm5 0.001 0.248 0.003
Pm6 0.336 0.912 0.671
# - space-group type = No. 12
# - energy relative to the elements, uncorrected (eV/atom) = -1.649
# - crystal system = monoclinic



Entry 6:
# Pm4PRhS2, optimized geometry, DFT PBE
data_Pm4PRhS2
_cell_length_a 4.051
_cell_length_b 7.147
_cell_length_c 7.136
_cell_angle_alpha 71.32
_cell_angle_beta 90.00
_cell_angle_gamma 90.00
_space_group_name_H-M_alt 'P 1'
_space_group_IT_number 1
loop_
_space_group_symop_operation_xyz
'x,y,z'
loop_
_atom_site_label
_atom_site_fract_x
_atom_site_fract_y
_atom_site_fract_z
S1 0.000 0.000 0.000
Pm1 0.500 0.741 0.250
Pm2 0.000 0.257 0.247
S2 0.500 0.000 0.500
Pm3 0.000 0.743 0.753
Rh1 0.500 0.500 0.000
P1 0.000 0.500 0.500
Pm4 0.500 0.259 0.750
# - space-group type = No. 10
# - energy relative to the elements, uncorrected (eV/atom) = -1.524
# - crystal system = monoclinic



Entry 7:
# Pm3SbP2Rh9, optimized geometry, DFT PBE
data_Pm3SbP2Rh9
_cell_length_a 6.102
_cell_length_b 6.102
_cell_length_c 9.188
_cell_angle_alpha 90.00
_cell_angle_beta 90.00
_cell_angle_gamma 120.00
_space_group_name_H-M_alt 'P 1'
_space_group_IT_number 1
loop_
_space_group_symop_operation_xyz
'x,y,z'
loop_
_atom_site_label
_atom_site_fract_x
_atom_site_fract_y
_atom_site_fract_z
Rh1 0.500 0.500 0.000
Rh2 0.000 0.500 0.000
Rh3 0.152 0.304 0.274
Rh4 0.696 0.848 0.274
Pm1 0.333 0.667 0.705
Rh5 0.152 0.848 0.274
Rh6 0.304 0.152 0.726
Rh7 0.848 0.696 0.726
Pm2 0.667 0.333 0.295
P1 0.333 0.667 0.159
Rh8 0.848 0.152 0.726
Pm3 0.000 0.000 0.000
Rh9 0.500 0.000 0.000
P2 0.667 0.333 0.841
Sb1 0.000 0.000 0.500
# - space-group type = No. 164
# - energy relative to the elements, uncorrected (eV/atom) = -0.656
# - crystal system = trigonal



Entry 8:
# Pm2SbP3Rh4, optimized geometry, DFT PBE
data_Pm2SbP3Rh4
_cell_length_a 4.112
_cell_length_b 4.112
_cell_length_c 10.512
_cell_angle_alpha 90.00
_cell_angle_beta 90.00
_cell_angle_gamma 90.00
_space_group_name_H-M_alt 'P 1'
_space_group_IT_number 1
loop_
_space_group_symop_operation_xyz
'x,y,z'
loop_
_atom_site_label
_atom_site_fract_x
_atom_site_fract_y
_atom_site_fract_z
Rh1 0.000 0.000 0.000
Rh2 0.500 0.500 0.000
Rh3 0.000 0.500 0.350
Pm1 0.500 0.000 0.235
P1 0.000 0.500 0.130
P2 0.000 0.000 0.500
Rh4 0.500 0.000 0.650
Pm2 0.000 0.500 0.765
Sb1 0.500 0.500 0.500
P3 0.500 0.000 0.870
# - space-group type = No. 115
# - energy relative to the elements, uncorrected (eV/atom) = -0.944
# - crystal system = tetragonal



Entry 9:
# PmSbP2Rh5, optimized geometry, DFT PBE
data_PmSbP2Rh5
_cell_length_a 4.054
_cell_length_b 4.054
_cell_length_c 10.169
_cell_angle_alpha 90.00
_cell_angle_beta 90.00
_cell_angle_gamma 90.00
_space_group_name_H-M_alt 'P 1'
_space_group_IT_number 1
loop_
_space_group_symop_operation_xyz
'x,y,z'
loop_
_atom_site_label
_atom_site_fract_x
_atom_site_fract_y
_atom_site_fract_z
Rh1 0.500 0.000 0.172
Rh2 0.000 0.500 0.172
P1 0.500 0.500 0.722
Rh3 0.000 0.500 0.828
Pm1 0.000 0.000 0.500
Sb1 0.000 0.000 0.000
Rh4 0.500 0.500 0.500
Rh5 0.500 0.000 0.828
P2 0.500 0.500 0.278
# - space-group type = No. 123
# - energy relative to the elements, uncorrected (eV/atom) = -0.724
# - crystal system = tetragonal



Entry 10:
# Pm2SbPRh6, optimized geometry, DFT PBE
data_Pm2SbPRh6
_cell_length_a 5.835
_cell_length_b 7.658
_cell_length_c 8.735
_cell_angle_alpha 90.00
_cell_angle_beta 90.00
_cell_angle_gamma 90.00
_space_group_name_H-M_alt 'P 1'
_space_group_IT_number 1
loop_
_space_group_symop_operation_xyz
'x,y,z'
loop_
_atom_site_label
_atom_site_fract_x
_atom_site_fract_y
_atom_site_fract_z
Pm1 0.000 0.270 0.771
Sb1 0.500 0.297 0.000
Rh1 0.732 0.994 0.000
Rh2 0.738 0.578 0.000
Rh3 0.232 0.006 0.500
Rh4 0.500 0.117 0.748
Rh5 0.500 0.117 0.252
Rh6 0.000 0.883 0.752
P1 0.000 0.785 0.000
Sb2 0.000 0.703 0.500
Rh7 0.768 0.006 0.500
Pm2 0.500 0.730 0.729
Pm3 0.000 0.270 0.229
Rh8 0.268 0.994 0.000
Rh9 0.238 0.422 0.500
Rh10 0.762 0.422 0.500
P2 0.500 0.215 0.500
Pm4 0.500 0.730 0.271
Rh11 0.000 0.883 0.248
Rh12 0.262 0.578 0.000
# - space-group type = No. 59
# - energy relative to the elements, uncorrected (eV/atom) = -0.654
# - crystal system = orthorhombic



Entry 11:
# Pm2ScP3Rh12, optimized geometry, DFT PBE
data_Pm2ScP3Rh12
_cell_length_a 6.715
_cell_length_b 6.715
_cell_length_c 6.715
_cell_angle_alpha 83.26
_cell_angle_beta 83.26
_cell_angle_gamma 83.26
_space_group_name_H-M_alt 'P 1'
_space_group_IT_number 1
loop_
_space_group_symop_operation_xyz
'x,y,z'
loop_
_atom_site_label
_atom_site_fract_x
_atom_site_fract_y
_atom_site_fract_z
Pm1 0.626 0.626 0.626
Sc1 0.000 0.000 0.000
Rh1 0.825 0.330 0.825
Rh2 0.330 0.825 0.825
Rh3 0.175 0.670 0.175
Rh4 0.089 0.635 0.635
Pm2 0.374 0.374 0.374
Rh5 0.365 0.365 0.911
P1 0.500 0.000 0.000
Rh6 0.670 0.175 0.175
Rh7 0.635 0.089 0.635
P2 0.000 0.500 0.000
Rh8 0.175 0.175 0.670
P3 0.000 0.000 0.500
Rh9 0.825 0.825 0.330
Rh10 0.365 0.911 0.365
Rh11 0.635 0.635 0.089
Rh12 0.911 0.365 0.365
# - space-group type = No. 166
# - crystal system = trigonal
# - final energy (hartree per atom) = -0.259



Entry 12:
# Pm8P3RhSe4, optimized geometry, DFT PBE
data_Pm8P3RhSe4
_cell_length_a 8.315
_cell_length_b 8.395
_cell_length_c 8.315
_cell_angle_alpha 119.69
_cell_angle_beta 120.00
_cell_angle_gamma 90.00
_space_group_name_H-M_alt 'P 1'
_space_group_IT_number 1
loop_
_space_group_symop_operation_xyz
'x,y,z'
loop_
_atom_site_label
_atom_site_fract_x
_atom_site_fract_y
_atom_site_fract_z
Pm1 0.744 0.731 0.488
Pm2 0.255 0.269 0.012
Se1 0.500 0.000 0.500
Se2 0.000 0.000 0.500
Pm3 0.243 0.731 0.486
Pm4 0.757 0.269 0.514
Se3 0.000 0.000 0.000
Rh1 0.000 0.500 0.000
Pm5 0.243 0.731 0.988
P1 0.500 0.500 0.500
P2 0.500 0.500 0.000
P3 0.000 0.500 0.500
Pm6 0.745 0.731 0.988
Pm7 0.757 0.269 0.012
Se4 0.500 0.000 0.000
Pm8 0.256 0.269 0.512
# - space-group type = No. 166
# - energy relative to the elements, uncorrected (eV/atom) = -1.622
# - crystal system = trigonal



Entry 13:
# Pm2SiPRh6, optimized geometry, DFT PBE
data_Pm2SiPRh6
_cell_length_a 5.770
_cell_length_b 7.298
_cell_length_c 8.639
_cell_angle_alpha 90.00
_cell_angle_beta 90.00
_cell_angle_gamma 90.00
_space_group_name_H-M_alt 'P 1'
_space_group_IT_number 1
loop_
_space_group_symop_operation_xyz
'x,y,z'
loop_
_atom_site_label
_atom_site_fract_x
_atom_site_fract_y
_atom_site_fract_z
Rh1 0.736 0.995 0.000
Pm1 0.500 0.723 0.271
Rh2 0.740 0.539 0.000
Rh3 0.760 0.461 0.500
Si1 0.500 0.277 0.000
Pm2 0.500 0.723 0.729
Si2 0.000 0.723 0.500
P1 0.500 0.234 0.500
Rh4 0.500 0.132 0.752
P2 0.000 0.766 0.000
Rh5 0.000 0.868 0.252
Rh6 0.264 0.995 0.000
Rh7 0.000 0.868 0.748
Rh8 0.236 0.005 0.500
Pm3 0.000 0.277 0.229
Rh9 0.764 0.005 0.500
Rh10 0.260 0.539 0.000
Rh11 0.500 0.132 0.248
Rh12 0.240 0.461 0.500
Pm4 0.000 0.277 0.771
# - space-group type = No. 59
# - energy relative to the elements, uncorrected (eV/atom) = -0.719
# - crystal system = orthorhombic



Entry 14:
# Pm3SiP2Rh9, optimized geometry, DFT PBE
data_Pm3SiP2Rh9
_cell_length_a 6.346
_cell_length_b 6.346
_cell_length_c 7.777
_cell_angle_alpha 90.00
_cell_angle_beta 90.00
_cell_angle_gamma 120.00
_space_group_name_H-M_alt 'P 1'
_space_group_IT_number 1
loop_
_space_group_symop_operation_xyz
'x,y,z'
loop_
_atom_site_label
_atom_site_fract_x
_atom_site_fract_y
_atom_site_fract_z
Pm1 0.667 0.333 0.338
Rh1 0.500 0.000 0.000
Rh2 0.166 0.333 0.327
Si1 0.000 0.000 0.500
P1 0.333 0.667 0.165
Rh3 0.333 0.166 0.673
Pm2 0.000 0.000 0.000
Pm3 0.333 0.667 0.662
Rh4 0.500 0.500 0.000
Rh5 0.166 0.834 0.327
Rh6 0.667 0.834 0.327
P2 0.667 0.333 0.835
Rh7 0.000 0.500 0.000
Rh8 0.834 0.667 0.673
Rh9 0.834 0.166 0.673
# - space-group type = No. 164
# - energy relative to the elements, uncorrected (eV/atom) = -0.678
# - crystal system = trigonal



Entry 15:
# PmSnP2Rh4, optimized geometry, DFT PBE
data_PmSnP2Rh4
_cell_length_a 4.124
_cell_length_b 4.124
_cell_length_c 8.138
_cell_angle_alpha 90.00
_cell_angle_beta 90.00
_cell_angle_gamma 90.00
_space_group_name_H-M_alt 'P 1'
_space_group_IT_number 1
loop_
_space_group_symop_operation_xyz
'x,y,z'
loop_
_atom_site_label
_atom_site_fract_x
_atom_site_fract_y
_atom_site_fract_z
Rh1 0.000 0.500 0.215
Sn1 0.000 0.000 0.000
Rh2 0.000 0.500 0.785
Rh3 0.500 0.000 0.785
P1 0.500 0.500 0.649
Rh4 0.500 0.000 0.215
Pm1 0.000 0.000 0.500
P2 0.500 0.500 0.351
# - space-group type = No. 123
# - crystal system = tetragonal
# - final energy (hartree per atom) = -0.256



Entry 16:
# Pm3SnP2Rh9, optimized geometry, DFT PBE
data_Pm3SnP2Rh9
_cell_length_a 6.098
_cell_length_b 6.098
_cell_length_c 9.277
_cell_angle_alpha 90.00
_cell_angle_beta 90.00
_cell_angle_gamma 120.00
_space_group_name_H-M_alt 'P 1'
_space_group_IT_number 1
loop_
_space_group_symop_operation_xyz
'x,y,z'
loop_
_atom_site_label
_atom_site_fract_x
_atom_site_fract_y
_atom_site_fract_z
Rh1 0.698 0.849 0.270
Pm1 0.000 0.000 0.000
P1 0.667 0.333 0.841
Rh2 0.849 0.698 0.730
Rh3 0.151 0.302 0.270
Rh4 0.000 0.500 0.000
Rh5 0.302 0.151 0.730
P2 0.333 0.667 0.159
Pm2 0.667 0.333 0.291
Rh6 0.500 0.500 0.000
Pm3 0.333 0.667 0.709
Rh7 0.500 0.000 0.000
Sn1 0.000 0.000 0.500
Rh8 0.849 0.151 0.730
Rh9 0.151 0.849 0.270
# - space-group type = No. 164
# - crystal system = trigonal
# - final energy (hartree per atom) = -0.257



Entry 17:
# Pm2SnP3Rh12, optimized geometry, DFT PBE
data_Pm2SnP3Rh12
_cell_length_a 7.271
_cell_length_b 7.271
_cell_length_c 7.271
_cell_angle_alpha 69.73
_cell_angle_beta 69.73
_cell_angle_gamma 69.73
_space_group_name_H-M_alt 'P 1'
_space_group_IT_number 1
loop_
_space_group_symop_operation_xyz
'x,y,z'
loop_
_atom_site_label
_atom_site_fract_x
_atom_site_fract_y
_atom_site_fract_z
Pm1 0.400 0.400 0.400
P1 0.000 0.500 0.000
P2 0.500 0.000 0.000
Sn1 0.000 0.000 0.000
Rh1 0.667 0.667 0.093
Rh2 0.667 0.093 0.667
Pm2 0.600 0.600 0.600
Rh3 0.856 0.382 0.856
Rh4 0.382 0.856 0.856
Rh5 0.144 0.618 0.144
Rh6 0.618 0.144 0.144
Rh7 0.144 0.144 0.618
Rh8 0.093 0.667 0.667
Rh9 0.333 0.907 0.333
P3 0.000 0.000 0.500
Rh10 0.907 0.333 0.333
Rh11 0.333 0.333 0.907
Rh12 0.856 0.856 0.382
# - space-group type = No. 166
# - crystal system = trigonal
# - final energy (hartree per atom) = -0.250



Entry 18:
# SrPmP2Rh5, optimized geometry, DFT PBE
data_SrPmP2Rh5
_cell_length_a 4.162
_cell_length_b 4.162
_cell_length_c 9.244
_cell_angle_alpha 90.00
_cell_angle_beta 90.00
_cell_angle_gamma 90.00
_space_group_name_H-M_alt 'P 1'
_space_group_IT_number 1
loop_
_space_group_symop_operation_xyz
'x,y,z'
loop_
_atom_site_label
_atom_site_fract_x
_atom_site_fract_y
_atom_site_fract_z
Rh1 0.500 0.000 0.732
Rh2 0.000 0.500 0.732
P1 0.500 0.500 0.833
Pm1 0.000 0.000 0.500
Rh3 0.000 0.500 0.268
Sr1 0.000 0.000 0.000
Rh4 0.500 0.000 0.268
Rh5 0.500 0.500 0.500
P2 0.500 0.500 0.167
# - space-group type = No. 123
# - crystal system = tetragonal
# - final energy (hartree per atom) = -0.252



Entry 19:
# TbPm2P3Rh12, optimized geometry, DFT PBE
data_TbPm2P3Rh12
_cell_length_a 6.749
_cell_length_b 6.749
_cell_length_c 6.749
_cell_angle_alpha 83.94
_cell_angle_beta 83.94
_cell_angle_gamma 83.94
_space_group_name_H-M_alt 'P 1'
_space_group_IT_number 1
loop_
_space_group_symop_operation_xyz
'x,y,z'
loop_
_atom_site_label
_atom_site_fract_x
_atom_site_fract_y
_atom_site_fract_z
Pm1 0.627 0.627 0.627
Rh1 0.178 0.664 0.178
Rh2 0.634 0.634 0.089
Rh3 0.089 0.634 0.634
Rh4 0.822 0.336 0.822
P1 0.000 0.000 0.500
Rh5 0.366 0.366 0.911
Rh6 0.664 0.178 0.178
Rh7 0.634 0.089 0.634
Rh8 0.366 0.911 0.366
Rh9 0.822 0.822 0.336
P2 0.000 0.500 0.000
Tb1 0.000 0.000 0.000
Pm2 0.373 0.373 0.373
Rh10 0.336 0.822 0.822
P3 0.500 0.000 0.000
Rh11 0.178 0.178 0.664
Rh12 0.911 0.366 0.366
# - space-group type = No. 166
# - crystal system = trigonal
# - final energy (hartree per atom) = -0.255